First-principles (PBE+U) data for NbFeF2 after structural relaxation, as listed in Alexandria.

Results
The value obtained for the total energy is -5.3062 eV/atom. For the energy above the most stable polymorph in this dataset, the calculation gives 642.8 meV per atom.

Unit cell a=4.211 b=4.211 c=4.211 alpha=60.00 beta=60.00 gamma=60.00
Atoms (fractional coordinates):
Nb 0.000 0.000 0.000
Fe 0.500 0.500 0.500
F 0.250 0.250 0.250
F 0.750 0.750 0.750